Entry 1:
GGA-PBE NdHoSc4, optimized geometry; energy above the lowest structure with this stoichiometry = 31 meV per atom; density = 4.99 g/cm³; formation enthalpy at 0 K = 0.07 eV per atom; space-group type = Cmcm
1.0
3.2797 -9.2762 0.0000
3.2797 9.2762 0.0000
0.0000 0.0000 5.3450
Nd Ho Sc
2 2 8
direct
0.1230 0.8770 0.7500
0.8770 0.1230 0.2500
0.3733 0.6267 0.2500
0.6267 0.3733 0.7500
0.0428 0.4598 0.7500
0.2130 0.2966 0.7500
0.2966 0.2130 0.2500
0.4598 0.0428 0.2500
0.5402 0.9572 0.7500
0.7034 0.7870 0.7500
0.7870 0.7034 0.2500
0.9572 0.5402 0.2500



Entry 2:
GGA-PBE Ac2Dy2Tl5, optimized geometry; density = 10.10 g/cm³; formation enthalpy at 0 K = -0.26 eV per atom; space-group type = Cmce
1.0
8.7630 -4.0966 0.0000
8.7630 4.0966 0.0000
0.0000 0.0000 8.2462
Ac Dy Tl
4 4 10
direct
0.2020 0.2020 0.0000
0.2980 0.2980 0.5000
0.7020 0.7020 0.5000
0.7980 0.7980 0.0000
0.1574 0.8426 0.6591
0.3426 0.6574 0.1591
0.6574 0.3426 0.8409
0.8426 0.1574 0.3409
0.0000 0.0000 0.0000
0.0186 0.7367 0.3604
0.2367 0.5186 0.8604
0.2633 0.9814 0.3604
0.4814 0.7633 0.8604
0.5000 0.5000 0.5000
0.5186 0.2367 0.1396
0.7367 0.0186 0.6396
0.7633 0.4814 0.1396
0.9814 0.2633 0.6396



Entry 3:
GGA-PBE Pm2SmScP4, optimized geometry; density = 5.43 g/cm³; formation enthalpy at 0 K = -1.51 eV per atom; space-group type = P2/m
1.0
6.9888 0.0000 0.0000
0.0000 4.0456 0.0000
-2.3315 0.0000 6.5907
Pm Sm Sc P
2 1 1 4
direct
0.0000 0.0000 0.0000
0.0000 0.5000 0.5000
0.5000 0.0000 0.5000
0.5000 0.5000 0.0000
0.2583 0.5000 0.2436
0.2650 0.0000 0.7640
0.7350 0.0000 0.2360
0.7417 0.5000 0.7564



Entry 4:
GGA-PBE Dy4AlHg, optimized geometry; energy above the lowest structure with this stoichiometry = 0 meV per atom; density = 8.88 g/cm³; formation enthalpy at 0 K = -0.25 eV per atom; space-group type = C2/m
1.0
6.5594 -1.7967 0.0000
6.5594 1.7967 0.0000
-1.9950 0.0000 6.9646
Dy Al Hg
4 1 1
direct
0.1506 0.1506 0.3202
0.1516 0.1516 0.8308
0.8484 0.8484 0.1692
0.8494 0.8494 0.6798
0.5000 0.5000 0.0000
0.5000 0.5000 0.5000



Entry 5:
GGA-PBE Mo2PbBr, optimized geometry; energy above the lowest structure with this stoichiometry = 389 meV per atom; density = 8.24 g/cm³; ΔE_f (raw) = 0.60 eV per atom; space-group type = Imm2
1.0
-1.6649 2.4039 6.0282
1.6649 -2.4039 6.0282
1.6649 2.4039 -6.0282
Mo Pb Br
2 1 1
direct
0.0000 0.0000 0.0000
0.8570 0.3570 0.5000
0.3498 0.8498 0.5000
0.6286 0.6286 0.0000



Entry 6:
GGA-PBE CsYZr, optimized geometry; energy above the lowest structure with this stoichiometry = 66 meV per atom; density = 3.53 g/cm³; formation enthalpy at 0 K = 0.39 eV per atom; space-group type = P1
1.0
4.5739 0.0000 0.0000
0.0000 4.5801 0.0000
0.0104 2.2712 14.0452
Cs Y Zr
2 2 2
direct
0.0000 0.0000 0.0000
0.4964 0.6616 0.6845
0.0026 0.7910 0.4130
0.5028 0.2910 0.4134
0.0031 0.3709 0.2522
0.5030 0.8707 0.2524